LiBeW: optimized geometry, PBE.

CIF file:
```
data_LiBeW
_cell_length_a 3.802
_cell_length_b 3.802
_cell_length_c 3.802
_cell_angle_alpha 60.00
_cell_angle_beta 60.00
_cell_angle_gamma 60.00
_symmetry_space_group_name_H-M 'P 1'
_symmetry_Int_Tables_number 1
loop_
_symmetry_equiv_pos_as_xyz
'x,y,z'
loop_
_atom_site_label
_atom_site_fract_x
_atom_site_fract_y
_atom_site_fract_z
W1 0.750 0.750 0.750
Be1 0.000 0.000 0.000
Li1 0.250 0.250 0.250
```

Properties
Symmetry: F-43m
ΔE to the lowest computed polymorph (kJ per mole of atoms): 0.0
Volume (Å³ per atom): 12.950
Electronic total energy (eV per atom): -5.19